--- one ---
Compound: Pm3PrIn2
Source: Alexandria
Functional: PBE
Structure: optimized geometry

The structure in CIF format:
```
data_Pm3PrIn2
_chemical_formula_sum 'Pm6 Pr2 In4'
_cell_length_a 5.347
_cell_length_b 10.144
_cell_length_c 6.874
_cell_angle_alpha 90.00
_cell_angle_beta 90.00
_cell_angle_gamma 90.00
_space_group_name_H-M_alt 'P m c 21'
_space_group_IT_number 26
_space_group_name_Hall 'P 2c -2'
loop_
_atom_site_label
_atom_site_type_symbol
_atom_site_fract_x
_atom_site_fract_y
_atom_site_fract_z
Pm1 Pm 0.000 0.041 0.000
Pm2 Pm 0.000 0.320 0.344
Pm3 Pm 0.500 0.177 0.725
Pr1 Pr 0.500 0.460 0.070
In1 In 0.000 0.355 0.820
In2 In 0.500 0.142 0.248
```


--- two ---
Compound: Pm3PrIn2
Source: Alexandria
Functional: PBE
Structure: optimized geometry

The structure in CIF format:
```
data_Pm3PrIn2
_chemical_formula_sum 'Pm12 Pr4 In8'
_cell_length_a 16.812
_cell_length_b 5.471
_cell_length_c 9.458
_cell_angle_alpha 90.00
_cell_angle_beta 120.18
_cell_angle_gamma 90.00
_space_group_name_H-M_alt 'C 1 2/m 1'
_space_group_IT_number 12
_space_group_name_Hall '-C 2y'
loop_
_atom_site_label
_atom_site_type_symbol
_atom_site_fract_x
_atom_site_fract_y
_atom_site_fract_z
Pm1 Pm 0.059 0.000 0.214
Pm2 Pm 0.118 0.500 0.045
Pm3 Pm 0.194 0.500 0.499
Pr1 Pr 0.130 0.000 0.673
In1 In 0.019 0.500 0.666
In2 In 0.229 0.000 0.092
```


Sorted by energy, starting with the most stable: one, two.


--- one ---
Compound: PmPrIn
Source: Alexandria
Functional: PBE
Structure: optimized geometry

The structure in CIF format:
```
data_PmPrIn
_chemical_formula_sum 'Pm2 Pr2 In2'
_cell_length_a 4.790
_cell_length_b 4.790
_cell_length_c 8.544
_cell_angle_alpha 90.00
_cell_angle_beta 90.00
_cell_angle_gamma 90.00
_space_group_name_H-M_alt 'P 4/n m m'
_space_group_IT_number 129
loop_
_space_group_symop_operation_xyz
'x,y,z'
'-x,-y,-z'
'-y+1/2,x,z'
'y+1/2,-x,-z'
'-x+1/2,-y+1/2,z'
'x+1/2,y+1/2,-z'
'y,-x+1/2,z'
'-y,x+1/2,-z'
'x+1/2,-y,-z'
'-x+1/2,y,z'
'-y,-x,-z'
'y,x,z'
'-x,y+1/2,-z'
'x,-y+1/2,z'
'y+1/2,x+1/2,-z'
'-y+1/2,-x+1/2,z'
loop_
_atom_site_label
_atom_site_type_symbol
_atom_site_fract_x
_atom_site_fract_y
_atom_site_fract_z
Pm1 Pm 0.250 0.750 0.000
Pr1 Pr 0.250 0.250 0.355
In1 In 0.250 0.250 0.732
```


--- two ---
Compound: PmPrIn
Source: Alexandria
Functional: PBE
Structure: optimized geometry

The structure in CIF format:
```
data_PmPrIn
_chemical_formula_sum 'Pm4 Pr4 In4'
_cell_length_a 3.570
_cell_length_b 3.570
_cell_length_c 30.494
_cell_angle_alpha 90.00
_cell_angle_beta 90.00
_cell_angle_gamma 90.00
_space_group_name_H-M_alt 'I 4/m m m'
_space_group_IT_number 139
_space_group_name_Hall '-I 4 2'
loop_
_atom_site_label
_atom_site_type_symbol
_atom_site_fract_x
_atom_site_fract_y
_atom_site_fract_z
Pm1 Pm 0.000 0.000 0.204
Pr1 Pr 0.000 0.000 0.060
In1 In 0.000 0.000 0.369
```


Sorted by energy, starting with the most stable: one, two.


--- one ---
Compound: PmPrIn
Source: Alexandria
Functional: PBE
Structure: optimized geometry

The structure in CIF format:
```
data_PmPrIn
_chemical_formula_sum 'Pm4 Pr4 In4'
_cell_length_a 7.550
_cell_length_b 7.550
_cell_length_c 7.550
_cell_angle_alpha 90.00
_cell_angle_beta 90.00
_cell_angle_gamma 90.00
_space_group_name_H-M_alt 'F -4 3 m'
_space_group_IT_number 216
_space_group_name_Hall 'F -4 2 3'
loop_
_atom_site_label
_atom_site_type_symbol
_atom_site_fract_x
_atom_site_fract_y
_atom_site_fract_z
Pm1 Pm 0.000 0.000 0.000
Pr1 Pr 0.000 0.000 0.500
In1 In 0.250 0.250 0.250
```


--- two ---
Compound: PmPrIn
Source: Alexandria
Functional: PBE
Structure: optimized geometry

The structure in CIF format:
```
data_PmPrIn
_chemical_formula_sum 'Pm2 Pr2 In2'
_cell_length_a 3.666
_cell_length_b 3.666
_cell_length_c 14.159
_cell_angle_alpha 90.00
_cell_angle_beta 90.00
_cell_angle_gamma 90.00
_space_group_name_H-M_alt 'I 4 m m'
_space_group_IT_number 107
_space_group_name_Hall 'I 4 -2'
loop_
_atom_site_label
_atom_site_type_symbol
_atom_site_fract_x
_atom_site_fract_y
_atom_site_fract_z
Pm1 Pm 0.000 0.000 0.000
Pr1 Pr 0.000 0.000 0.694
In1 In 0.000 0.000 0.350
```


Sorted by energy, starting with the most stable: two, one.


--- one ---
Compound: PmPrIn
Source: Alexandria
Functional: PBE
Structure: optimized geometry

The structure in CIF format:
```
data_PmPrIn
_chemical_formula_sum 'Pm2 Pr2 In2'
_cell_length_a 4.097
_cell_length_b 4.097
_cell_length_c 10.948
_cell_angle_alpha 90.00
_cell_angle_beta 90.00
_cell_angle_gamma 90.00
_space_group_name_H-M_alt 'I 4 m m'
_space_group_IT_number 107
_space_group_name_Hall 'I 4 -2'
loop_
_atom_site_label
_atom_site_type_symbol
_atom_site_fract_x
_atom_site_fract_y
_atom_site_fract_z
Pm1 Pm 0.000 0.000 0.000
Pr1 Pr 0.000 0.000 0.308
In1 In 0.000 0.000 0.650
```


--- two ---
Compound: PmPrIn
Source: Alexandria
Functional: PBE
Structure: optimized geometry

The structure in CIF format:
```
data_PmPrIn
_chemical_formula_sum 'Pm1 Pr1 In1'
_cell_length_a 5.3496
_cell_length_b 5.3496
_cell_length_c 3.7604
_cell_angle_alpha 90.00
_cell_angle_beta 90.00
_cell_angle_gamma 120.00
_space_group_name_H-M_alt 'P 3 m 1'
_space_group_IT_number 156
_space_group_name_Hall 'P 3 -2"'
loop_
_atom_site_label
_atom_site_type_symbol
_atom_site_fract_x
_atom_site_fract_y
_atom_site_fract_z
Pm1 Pm 0.0000 0.0000 0.0000
Pr1 Pr 0.6667 0.3333 0.5774
In1 In 0.3333 0.6667 0.2614
```


Sorted by energy, starting with the most stable: one, two.


--- one ---
Compound: Pm2Pr4In
Source: Alexandria
Functional: PBE
Structure: optimized geometry

The structure in CIF format:
```
data_Pm2Pr4In
_chemical_formula_sum 'Pm4 Pr8 In2'
_cell_length_a 6.469
_cell_length_b 11.174
_cell_length_c 6.654
_cell_angle_alpha 90.00
_cell_angle_beta 90.18
_cell_angle_gamma 90.00
_space_group_name_H-M_alt 'P 1 21/c 1'
_space_group_IT_number 14
_space_group_name_Hall '-P 2ybc'
loop_
_atom_site_label
_atom_site_type_symbol
_atom_site_fract_x
_atom_site_fract_y
_atom_site_fract_z
Pm1 Pm 0.248 0.032 0.050
Pr1 Pr 0.074 0.154 0.540
Pr2 Pr 0.399 0.736 0.268
In1 In 0.500 0.000 0.500
```


--- two ---
Compound: Pm2Pr4In
Source: Alexandria
Functional: PBE
Structure: optimized geometry

The structure in CIF format:
```
data_Pm2Pr4In
_chemical_formula_sum 'Pm6 Pr12 In3'
_cell_length_a 3.7218
_cell_length_b 3.7218
_cell_length_c 60.7558
_cell_angle_alpha 90.00
_cell_angle_beta 90.00
_cell_angle_gamma 120.00
_space_group_name_H-M_alt 'R -3 m'
_space_group_IT_number 166
_space_group_name_Hall '-R 3 2"'
loop_
_atom_site_label
_atom_site_type_symbol
_atom_site_fract_x
_atom_site_fract_y
_atom_site_fract_z
Pm1 Pm 0.0000 0.0000 0.1908
Pr1 Pr 0.0000 0.0000 0.0930
Pr2 Pr 0.0000 0.0000 0.2908
In1 In 0.0000 0.0000 0.0000
```


Sorted by energy, starting with the most stable: two, one.


--- one ---
Compound: Pm2PrIn
Source: Alexandria
Functional: PBE
Structure: optimized geometry

The structure in CIF format:
```
data_Pm2PrIn
_chemical_formula_sum 'Pm6 Pr3 In3'
_cell_length_a 3.7367
_cell_length_b 3.7367
_cell_length_c 33.0518
_cell_angle_alpha 90.00
_cell_angle_beta 90.00
_cell_angle_gamma 120.00
_space_group_name_H-M_alt 'R 3 m'
_space_group_IT_number 160
_space_group_name_Hall 'R 3 -2"'
loop_
_atom_site_label
_atom_site_type_symbol
_atom_site_fract_x
_atom_site_fract_y
_atom_site_fract_z
Pm1 Pm 0.0000 0.0000 0.0000
Pm2 Pm 0.0000 0.0000 0.1823
Pr1 Pr 0.0000 0.0000 0.7582
In1 In 0.0000 0.0000 0.5914
```


--- two ---
Compound: Pm2PrIn
Source: Alexandria
Functional: PBE
Structure: optimized geometry

The structure in CIF format:
```
data_Pm2PrIn
_chemical_formula_sum 'Pm6 Pr3 In3'
_cell_length_a 3.5613
_cell_length_b 3.5613
_cell_length_c 36.3183
_cell_angle_alpha 90.00
_cell_angle_beta 90.00
_cell_angle_gamma 120.00
_space_group_name_H-M_alt 'R -3 m'
_space_group_IT_number 166
_space_group_name_Hall '-R 3 2"'
loop_
_atom_site_label
_atom_site_type_symbol
_atom_site_fract_x
_atom_site_fract_y
_atom_site_fract_z
Pm1 Pm 0.0000 0.0000 0.0959
Pr1 Pr 0.0000 0.0000 0.0000
In1 In 0.0000 0.0000 0.5000
```


Sorted by energy, starting with the most stable: one, two.